1.
Here is MnCu2Br5 after structural relaxation from Alexandria. Energies are from PBE.

Structure (POSCAR):
```
MnCu2Br5
1.0
5.2430 -4.1634 0.0000
5.2430 4.1634 0.0000
-3.6478 0.0000 5.1905
Mn Cu Br
1 2 5
direct
0.0000 0.0000 0.0000
0.4276 0.9885 0.8117
0.9885 0.4276 0.8117
0.0478 0.0478 0.4412
0.2704 0.6924 0.8758
0.2866 0.2866 0.1303
0.6924 0.2704 0.8758
0.6971 0.6971 0.6702
```

Calculated values
* space group: Cm (8)
* calculated total energy: -3.63 eV/atom
* ρ: 4.3 g cm⁻³
* V: 226.60 Å³ per cell
* raw formation energy: -3.31 eV per formula unit
* spin magnetization: 4.6 μB/cell

=====

2.
Here is RbAs2Pt after structural relaxation from Alexandria. Energies are from PBE.

Structure (POSCAR):
```
RbAs2Pt
1.0
2.0533 1.1855 6.9856
-2.0533 1.1855 6.9856
0.0000 -2.3709 6.9856
Rb As Pt
1 2 1
direct
0.0000 0.0000 0.0000
0.2138 0.2138 0.2138
0.7862 0.7862 0.7862
0.5000 0.5000 0.5000
```

Calculated values
* space group: R-3m (166)
* calculated total energy: -4.50 eV/atom
* ρ: 7.0 g cm⁻³
* V: 102.02 Å³ per cell
* ΔE to the lowest computed polymorph: 0 meV per atom
* energy relative to the elements: -0.43 eV per atom
* spin magnetization: 0.0 μB/cell

=====

3.
Here is PmHgBi2 after structural relaxation from Alexandria. Energies are from PBE.

Structure (POSCAR):
```
PmHgBi2
1.0
4.8563 0.0000 0.0000
0.0000 4.8563 0.0000
0.0000 0.0000 4.9274
Pm Hg Bi
1 1 2
direct
0.0000 0.0000 0.0000
0.5000 0.5000 0.0000
0.0000 0.5000 0.5000
0.5000 0.0000 0.5000
```

Calculated values
* space group: P4/mmm (123)
* calculated total energy: -3.65 eV/atom
* ρ: 10.9 g cm⁻³
* V: 116.21 Å³ per cell
* ΔE to the lowest computed polymorph: 12 meV per atom
* energy relative to the elements: -0.45 eV per atom
* spin magnetization: 0.0 μB/cell

=====

4.
Here is KNbN3 after structural relaxation from Alexandria. Energies are from PBE.

Structure (POSCAR):
```
KNbN3
1.0
3.9581 0.0000 0.0000
0.0000 3.9581 0.0000
0.0000 0.0000 3.9581
K Nb N
1 1 3
direct
0.0000 0.0000 0.0000
0.5000 0.5000 0.5000
0.0000 0.0000 0.5000
0.0000 0.5000 0.0000
0.5000 0.0000 0.0000
```

Calculated values
* space group: Pm-3m (221)
* calculated total energy: -4.25 eV/atom
* ρ: 4.7 g cm⁻³
* V: 62.01 Å³ per cell
* raw formation energy: 14.88 eV per formula unit
* spin magnetization: 0.0 μB/cell

=====

5.
Here is TiNbSb2I after structural relaxation from Alexandria. Energies are from PBE.

Structure (POSCAR):
```
TiNbSb2I
1.0
5.2301 0.0000 0.0000
0.0000 5.2301 0.0000
0.0000 0.0000 5.4326
Ti Nb Sb I
1 1 2 1
direct
0.0000 0.0000 0.0000
0.5000 0.5000 0.5000
0.0000 0.5000 0.0000
0.5000 0.0000 0.0000
0.0000 0.0000 0.5000
```

Calculated values
* space group: P4/mmm (123)
* calculated total energy: -4.77 eV/atom
* ρ: 5.7 g cm⁻³
* V: 148.60 Å³ per cell
* raw formation energy: 3.93 eV per formula unit
* ΔE to the lowest computed polymorph: 0 meV per atom
* spin magnetization: 3.1 μB/cell

=====

6.
Here is Y6AgPd after structural relaxation from Alexandria. Energies are from PBE.

Structure (POSCAR):
```
Y6AgPd
1.0
6.8685 0.0000 0.0000
-3.4281 5.9519 0.0000
-3.4277 -1.9832 6.2671
Y Ag Pd
6 1 1
direct
0.0144 0.0716 0.2514
0.3080 0.7367 0.2512
0.3192 0.5563 0.7486
0.6808 0.4437 0.2514
0.6920 0.2633 0.7488
0.9856 0.9284 0.7486
0.5000 0.0000 0.0000
0.5000 0.5000 0.5000
```

Calculated values
* space group: P-1 (2)
* calculated total energy: -5.92 eV/atom
* ρ: 4.8 g cm⁻³
* V: 256.20 Å³ per cell
* energy relative to the elements: -0.06 eV per atom
* spin magnetization: 0.0 μB/cell